# 1
The following is a DFT calculation (GGA-PBEsol) of a relaxed BaCaP2 crystal.

The space-group type is P2/m, No. 10. Its excess energy over the best structure of this formula in the dataset is 0 meV per atom. As for the calculated formation energy: -0.88 eV per atom.

Cell and atoms, written as POSCAR:
```
BaCaP2
1.0
3.850 0.000 0.000
0.000 3.850 0.000
-0.007 0.000 6.450
Ba Ca P
1 1 2
direct
0.000 0.000 0.000 Ba
0.000 0.000 0.500 Ca
0.500 0.500 0.320 P
0.500 0.500 0.680 P
```

# 2
The following is a DFT calculation (GGA-PBEsol) of a relaxed Ba4SiP crystal.

For the energy relative to the elements, uncorrected, the calculation gives 51.45 kJ per mole of atoms. The space-group type is F-43m, No. 216.

Cell and atoms, written as POSCAR:
```
Ba4SiP
1.0
0.000 4.720 4.720
4.720 0.000 4.720
4.720 4.720 0.000
Ba Si P
4 1 1
direct
0.376 0.376 0.376 Ba
0.376 0.376 0.873 Ba
0.376 0.873 0.376 Ba
0.873 0.376 0.376 Ba
0.000 0.000 0.000 Si
0.750 0.750 0.750 P
```

# 3
The following is a DFT calculation (GGA-PBEsol) of a relaxed CrAgPO2 crystal.

For the energy relative to the elements, uncorrected, the calculation gives -73.40 kJ per mole of atoms. The space-group type is P4/mmm, No. 123.

Cell and atoms, written as POSCAR:
```
CrAgPO2
1.0
3.558 0.000 0.000
0.000 3.558 0.000
0.000 0.000 5.001
Cr Ag P O
1 1 1 2
direct
0.000 0.000 0.000 Cr
0.500 0.500 0.500 Ag
0.000 0.000 0.500 P
0.000 0.500 0.000 O
0.500 0.000 0.000 O
```

# 4
The following is a DFT calculation (GGA-PBEsol) of a relaxed Fe2TeMo crystal.

For the energy relative to the elements, uncorrected, the calculation gives 42.73 kJ per mole of atoms. The space-group type is Fm-3m, No. 225.

Cell and atoms, written as POSCAR:
```
Fe2TeMo
1.0
0.000 3.022 3.022
3.022 0.000 3.022
3.022 3.022 0.000
Fe Te Mo
2 1 1
direct
0.250 0.250 0.250 Fe
0.750 0.750 0.750 Fe
0.000 0.000 0.000 Te
0.500 0.500 0.500 Mo
```

# 5
The following is a DFT calculation (GGA-PBEsol) of a relaxed ScC3 crystal.

The space-group type is Pmmm, No. 47. Its excess energy over the best structure of this formula in the dataset is 0 meV per atom. As for the calculated formation energy: 0.81 eV per atom.

Cell and atoms, written as POSCAR:
```
ScC3
1.0
2.708 0.000 0.000
0.000 3.522 0.000
0.000 0.000 3.628
Sc C
1 3
direct
0.000 0.000 0.000 Sc
0.000 0.500 0.500 C
0.500 0.500 0.193 C
0.500 0.500 0.807 C
```

# 6
The following is a DFT calculation (GGA-PBEsol) of a relaxed CaPrNi2O6 crystal.

For the energy relative to the elements, uncorrected, the calculation gives -184.92 kJ per mole of atoms. The space-group type is Pmn2_1, No. 31.

Cell and atoms, written as POSCAR:
```
CaPrNi2O6
1.0
7.451 0.000 0.000
0.000 5.282 0.000
0.000 0.000 5.301
Ca Pr Ni O
2 2 4 12
direct
0.000 0.206 0.000 Ca
0.500 0.794 0.500 Ca
0.000 0.717 0.514 Pr
0.500 0.283 0.014 Pr
0.249 0.250 0.508 Ni
0.251 0.750 0.008 Ni
0.749 0.750 0.008 Ni
0.751 0.250 0.508 Ni
0.000 0.255 0.433 O
0.000 0.759 0.073 O
0.210 0.464 0.794 O
0.217 0.967 0.725 O
0.283 0.033 0.225 O
0.290 0.536 0.294 O
0.500 0.241 0.573 O
0.500 0.745 0.933 O
0.710 0.536 0.294 O
0.717 0.033 0.225 O
0.783 0.967 0.725 O
0.790 0.464 0.794 O
```

# 7
The following is a DFT calculation (GGA-PBEsol) of a relaxed PmSbAu2 crystal.

For the energy relative to the elements, uncorrected, the calculation gives -62.05 kJ per mole of atoms. The space-group type is Fm-3m, No. 225.

Cell and atoms, written as POSCAR:
```
PmSbAu2
1.0
0.000 3.529 3.529
3.529 0.000 3.529
3.529 3.529 0.000
Pm Sb Au
1 1 2
direct
0.000 0.000 0.000 Pm
0.500 0.500 0.500 Sb
0.250 0.250 0.250 Au
0.750 0.750 0.750 Au
```

# 8
The following is a DFT calculation (GGA-PBEsol) of a relaxed ZnCu2GeSe4 crystal.

For the energy relative to the elements, uncorrected, the calculation gives -32.33 kJ per mole of atoms. The space-group type is I-42m, No. 121.

Cell and atoms, written as POSCAR:
```
ZnCu2GeSe4
1.0
-2.778 2.778 5.544
2.778 -2.778 5.544
2.778 2.778 -5.544
Zn Cu Ge Se
1 2 1 4
direct
0.000 0.000 0.000 Zn
0.250 0.750 0.500 Cu
0.750 0.250 0.500 Cu
0.500 0.500 0.000 Ge
0.123 0.123 0.507 Se
0.384 0.877 0.000 Se
0.616 0.616 0.493 Se
0.877 0.384 0.000 Se
```